A relaxed structure of VZnCuF6, computed with PBE+U.

abc: 5.3451 5.3451 9.2619
angles: 90.00 90.00 120.00
Last column: nearest neighbours and their distance in Å.
Sites, in units of the cell vectors:
V1 0.3333 0.6667 0.2500  6 F 2.00
V2 0.6667 0.3333 0.7500  6 F 2.00
Zn1 0.6667 0.3333 0.2500  6 F 2.07
Zn2 0.3333 0.6667 0.7500  6 F 2.07
Cu1 0.0000 0.0000 0.0000  6 F 2.25
Cu2 0.0000 0.0000 0.5000  6 F 2.25
F1 0.6447 0.6545 0.1348  1 V 2.00, 1 Zn 2.07
F2 0.0099 0.3553 0.1348  1 V 2.00, 1 Zn 2.07
F3 0.3553 0.0099 0.6348  1 V 2.00, 1 Zn 2.07
F4 0.9901 0.6447 0.8652  1 V 2.00, 1 Zn 2.07
F5 0.3455 0.3553 0.3652  1 V 2.00, 1 Zn 2.07
F6 0.0099 0.6545 0.3652  1 V 2.00, 1 Zn 2.07
F7 0.6545 0.0099 0.8652  1 V 2.00, 1 Zn 2.07
F8 0.6447 0.9901 0.3652  1 V 2.00, 1 Zn 2.07
F9 0.9901 0.3455 0.6348  1 V 2.00, 1 Zn 2.07
F10 0.3455 0.9901 0.1348  1 V 2.00, 1 Zn 2.07
F11 0.6545 0.6447 0.6348  1 V 2.00, 1 Zn 2.07
F12 0.3553 0.3455 0.8652  1 V 2.00, 1 Zn 2.07

## Properties
* size of the total moment: 2.318 μB/f.u.
* uncorrected energy: -4.867 eV/atom
* SG: P-31c, No. 163